DFT (PBE) results for crystalline HfZnBi2 at its relaxed geometry.

abc: 6.5948 6.5948 7.9865
angles: 65.61 65.61 90.00
Last column: nearest neighbours and their distance in Å.
Fractional positions:
Zn 0.5000 0.5000 0.0000  4 Bi 2.80
Zn 0.2500 0.7500 0.5000  4 Bi 2.80
Hf 0.0000 0.0000 0.0000  4 Bi 2.88
Hf 0.7500 0.2500 0.5000  4 Bi 2.88
Bi 0.6140 0.1250 0.2500  2 Zn 2.80, 2 Hf 2.88
Bi 0.1360 0.6250 0.2500  2 Zn 2.80, 2 Hf 2.88
Bi 0.3750 0.3860 0.7500  2 Zn 2.80, 2 Hf 2.88
Bi 0.8750 0.8640 0.7500  2 Zn 2.80, 2 Hf 2.88

Space group: No. 122
Energy relative to the elements in eV/atom: 0.3253
Calculated total energy in Ry per atom: -0.325
Size of the total moment in μB per cell: 0.00

=====

DFT (PBE) results for crystalline HfZnBi at its relaxed geometry.

abc: 4.0376 4.0376 8.4231
angles: 90.00 90.00 90.00
Last column: nearest neighbours and their distance in Å.
Fractional positions:
Zn 0.0000 0.0000 0.0000  4 Zn 2.86, 4 Hf 2.97
Zn 0.5000 0.5000 0.0000  4 Zn 2.86, 4 Hf 2.97
Bi 0.0000 0.5000 0.3601  5 Hf 2.98-3.21
Bi 0.5000 0.0000 0.6399  5 Hf 2.98-3.21
Hf 0.0000 0.5000 0.7412  4 Zn 2.97, 5 Bi 2.98-3.21
Hf 0.5000 0.0000 0.2588  4 Zn 2.97, 5 Bi 2.98-3.21

Space group: No. 129
Energy relative to the elements in eV/atom: 0.0470
Calculated total energy in Ry per atom: -0.367
Size of the total moment in μB per cell: 0.00

=====

DFT (PBE) results for crystalline Hf8ZnBi2 at its relaxed geometry.

abc: 5.4746 7.7646 7.7646
angles: 122.78 100.96 100.96
Last column: nearest neighbours and their distance in Å.
Fractional positions:
Hf 0.8217 0.8967 0.6869  5 Hf 2.86-3.15, 2 Bi 3.00-3.05, 1 Zn 3.12
Hf 0.8217 0.6869 0.8967  5 Hf 2.86-3.15, 2 Bi 3.00-3.05, 1 Zn 3.12
Hf 0.2975 0.5990 0.5990  1 Zn 2.74, 3 Hf 2.99-3.01
Hf 0.5000 0.7851 0.2149  1 Zn 2.93, 2 Bi 2.98, 2 Hf 3.15
Hf 0.5000 0.2149 0.7851  1 Zn 2.93, 2 Bi 2.98, 2 Hf 3.15
Hf 0.7025 0.4010 0.4010  1 Zn 2.74, 3 Hf 2.99-3.01
Hf 0.1783 0.3131 0.1033  5 Hf 2.86-3.15, 2 Bi 3.00-3.05, 1 Zn 3.12
Hf 0.1783 0.1033 0.3131  5 Hf 2.86-3.15, 2 Bi 3.00-3.05, 1 Zn 3.12
Zn 0.5000 0.0000 0.0000  4 Hf 2.74-2.93
Bi 0.0000 0.3010 0.6990  8 Hf 2.98-3.10
Bi 0.0000 0.6990 0.3010  8 Hf 2.98-3.10

Space group: No. 12
Energy relative to the elements in eV/atom: 0.1472
Calculated total energy in Ry per atom: -0.582
Size of the total moment in μB per cell: 0.00

=====

Number 1: N(E_F) 0.00 states/eV per atom. Number 2: N(E_F) 0.94 states/eV per atom. Number 3: N(E_F) 1.00 states/eV per atom.